# 1
{
  "formula": "AsW2Br",
  "functional": "SCAN",
  "state": "PBEsol geometry",
  "lattice_angstrom": [[1.504, 0.868, 8.246], [-1.504, 0.868, 8.246], [0.000, -1.736, 8.246]],
  "species": ["As", "W", "W", "Br"],
  "frac_coords": [[0.000, 0.000, 0.000], [0.255, 0.255, 0.255], [0.745, 0.745, 0.745], [0.500, 0.500, 0.500]],
  "e_above_lowest_polymorph_ev_per_atom": 0.458,
  "raw_formation_energy_kj_per_mol_fu": 321
}

=====

# 2
{
  "formula": "AsWBr",
  "functional": "SCAN",
  "state": "PBEsol geometry",
  "lattice_angstrom": [[3.188, 0.000, 0.000], [-1.594, 2.761, 0.000], [0.000, 0.000, 6.838]],
  "species": ["As", "W", "Br"],
  "frac_coords": [[0.000, 0.000, 0.000], [0.667, 0.333, 0.262], [0.333, 0.667, 0.534]],
  "raw_formation_energy_kj_per_mol_fu": 80
}

=====

# 3
{
  "formula": "AsW2Br",
  "functional": "SCAN",
  "state": "PBEsol geometry",
  "lattice_angstrom": [[-2.060, 2.060, 3.862], [2.060, -2.060, 3.862], [2.060, 2.060, -3.862]],
  "species": ["As", "W", "W", "Br"],
  "frac_coords": [[0.000, 0.000, 0.000], [0.250, 0.750, 0.500], [0.500, 0.500, 0.000], [0.750, 0.250, 0.500]],
  "e_above_lowest_polymorph_ev_per_atom": 0.845,
  "raw_formation_energy_kj_per_mol_fu": 470
}

=====

# 4
{
  "formula": "AsW2Br",
  "functional": "SCAN",
  "state": "PBEsol geometry",
  "lattice_angstrom": [[1.521, 0.878, 9.419], [-1.521, 0.878, 9.419], [0.000, -1.756, 9.419]],
  "species": ["As", "W", "W", "Br"],
  "frac_coords": [[0.000, 0.000, 0.000], [0.266, 0.266, 0.266], [0.524, 0.524, 0.524], [0.788, 0.788, 0.788]],
  "e_above_lowest_polymorph_ev_per_atom": 0.000,
  "raw_formation_energy_kj_per_mol_fu": 144
}

=====

# 5
{
  "formula": "YAsBr4",
  "functional": "SCAN",
  "state": "PBEsol geometry",
  "lattice_angstrom": [[0.000, 4.210, 4.210], [4.210, 0.000, 4.210], [4.210, 4.210, 0.000]],
  "species": ["Y", "As", "Br", "Br", "Br", "Br"],
  "frac_coords": [[0.000, 0.000, 0.000], [0.250, 0.250, 0.250], [0.126, 0.625, 0.625], [0.625, 0.126, 0.625], [0.625, 0.625, 0.126], [0.625, 0.625, 0.625]],
  "raw_formation_energy_kj_per_mol_fu": 126
}

=====

# 6
{
  "formula": "YAs2Br",
  "functional": "SCAN",
  "state": "PBEsol geometry",
  "lattice_angstrom": [[-2.081, 2.081, 4.951], [2.081, -2.081, 4.951], [2.081, 2.081, -4.951]],
  "species": ["Y", "As", "As", "Br"],
  "frac_coords": [[0.000, 0.000, 0.000], [0.500, 0.500, 0.000], [0.750, 0.250, 0.500], [0.250, 0.750, 0.500]],
  "raw_formation_energy_kj_per_mol_fu": -161
}

=====

# 7
{
  "formula": "Zn2AsBr",
  "functional": "SCAN",
  "state": "PBEsol geometry",
  "lattice_angstrom": [[3.613, 0.000, 0.000], [0.000, 3.613, 0.000], [0.000, 0.000, 6.443]],
  "species": ["Zn", "Zn", "As", "Br"],
  "frac_coords": [[0.000, 0.000, 0.000], [0.500, 0.500, 0.392], [0.000, 0.000, 0.370], [0.500, 0.500, 0.841]],
  "e_above_lowest_polymorph_ev_per_atom": 0.260,
  "raw_formation_energy_kj_per_mol_fu": -76
}

=====

# 8
{
  "formula": "ZnAsBr2",
  "functional": "SCAN",
  "state": "PBEsol geometry",
  "lattice_angstrom": [[-2.706, 2.706, 3.205], [2.706, -2.706, 3.205], [2.706, 2.706, -3.205]],
  "species": ["Zn", "As", "Br", "Br"],
  "frac_coords": [[0.000, 0.000, 0.000], [0.500, 0.500, 0.000], [0.000, 0.500, 0.500], [0.500, 0.000, 0.500]],
  "e_above_lowest_polymorph_ev_per_atom": 0.000,
  "raw_formation_energy_kj_per_mol_fu": 37
}

=====

# 9
{
  "formula": "ZnAsBr2",
  "functional": "SCAN",
  "state": "PBEsol geometry",
  "lattice_angstrom": [[0.000, 3.476, 3.476], [3.476, 0.000, 3.476], [3.476, 3.476, 0.000]],
  "species": ["Zn", "As", "Br", "Br"],
  "frac_coords": [[0.000, 0.000, 0.000], [0.250, 0.250, 0.250], [0.500, 0.500, 0.500], [0.750, 0.750, 0.750]],
  "e_above_lowest_polymorph_ev_per_atom": 0.478,
  "raw_formation_energy_kj_per_mol_fu": 221
}

=====

# 10
{
  "formula": "Zn2AsBr",
  "functional": "SCAN",
  "state": "PBEsol geometry",
  "lattice_angstrom": [[-2.870, 2.870, 5.913], [2.870, -2.870, 5.913], [2.870, 2.870, -5.913]],
  "species": ["Zn", "Zn", "Zn", "Zn", "As", "As", "Br", "Br"],
  "frac_coords": [[0.075, 0.625, 0.950], [0.375, 0.325, 0.450], [0.675, 0.125, 0.050], [0.875, 0.925, 0.550], [0.000, 0.000, 0.000], [0.750, 0.250, 0.500], [0.250, 0.750, 0.500], [0.500, 0.500, 0.000]],
  "e_above_lowest_polymorph_ev_per_atom": 0.000,
  "raw_formation_energy_kj_per_mol_fu": -176
}

=====

# 11
{
  "formula": "ZrZnAs2Br",
  "functional": "SCAN",
  "state": "PBEsol geometry",
  "lattice_angstrom": [[5.168, 0.000, 0.000], [0.000, 5.168, 0.000], [0.000, 0.000, 5.188]],
  "species": ["Zr", "Zn", "As", "As", "Br"],
  "frac_coords": [[0.000, 0.000, 0.000], [0.500, 0.500, 0.500], [0.000, 0.500, 0.000], [0.500, 0.000, 0.000], [0.000, 0.000, 0.500]],
  "raw_formation_energy_kj_per_mol_fu": 22
}

=====

# 12
{
  "formula": "As2C",
  "functional": "SCAN",
  "state": "PBEsol geometry",
  "lattice_angstrom": [[-1.462, 1.462, 10.732], [1.462, -1.462, 10.732], [1.462, 1.462, -10.732]],
  "species": ["As", "As", "As", "As", "C", "C"],
  "frac_coords": [[0.318, 0.568, 0.750], [0.432, 0.682, 0.750], [0.568, 0.318, 0.250], [0.682, 0.432, 0.250], [0.125, 0.875, 0.250], [0.875, 0.125, 0.750]],
  "e_above_lowest_polymorph_ev_per_atom": 0.403,
  "formation_enthalpy_0k_ev_per_atom": 1.60
}

=====

We obtain magnetization values of 0.000, 0.000, 0.000, 0.000, 0.403, 0.000, 0.000, 0.000, 0.000, 0.000, 0.557, 0.000 Bohr magnetons per cell for the records listed above, in that order.
We obtain uncorrected energy values of -43.925, -36.168, -43.538, -44.383, -20.760, -22.338, -16.866, -18.061, -17.583, -17.126, -20.765, -15.225 eV per atom for the records listed above, in that order.